A plane-wave DFT calculation with PBE was carried out for a relaxed structure of PmEr2Tm3Te6.

It has space group C2/m (No. 12), with a = 19.016 Å, b = 4.301 Å, c = 8.736 Å, α = 90.00°, β = 104.50° and γ = 90.00°. The distinct sites, in fractional coordinates, are Pm at (0.000, 0.000, 0.000), Er at (0.162, 0.500, 0.325), Tm at (0.000, 0.000, 0.500), Tm at (0.161, 0.500, 0.830), Te at (0.000, 0.500, 0.260), Te at (0.168, 0.000, 0.582) and Te at (0.172, 0.000, 0.082).

As for the uncorrected formation energy: -1417 kJ/mol of formula units. The total energy comes out at -121.7 eV/cell.

---

A plane-wave DFT calculation with PBE was carried out for a relaxed structure of Na3SrI.

It has space group Pm-3m (No. 221), with a = 6.216 Å, b = 6.216 Å, c = 6.216 Å, α = 90.00°, β = 90.00° and γ = 90.00°. The distinct sites, in fractional coordinates, are Na at (0.000, 0.000, 0.500), Sr at (0.500, 0.500, 0.500) and I at (0.000, 0.000, 0.000).

As for the uncorrected formation energy: -105 kJ/mol of formula units. The total energy comes out at -8.3 eV/cell.

---

A plane-wave DFT calculation with PBE was carried out for a relaxed structure of TaAgCl.

It has space group Fmm2 (No. 42), with a = 3.280 Å, b = 4.945 Å, c = 14.919 Å, α = 90.00°, β = 90.00° and γ = 90.00°. The distinct sites, in fractional coordinates, are Ta at (0.000, 0.000, 0.000), Ag at (0.000, 0.000, 0.656) and Cl at (0.000, 0.000, 0.371).

As for the uncorrected formation energy: 18 kJ/mol of formula units. The total energy comes out at -65.5 eV/cell.